# NiSnO2F (GGA+U, optimized geometry)
# Fermi-level density of states: 4.97 states/eV per cell
# uncorrected energy: -4.460 eV/atom
data_NiSnO2F
_chemical_formula_sum 'Ni1 Sn1 O2 F1'
_symmetry_space_group_name_H-M 'P 4/m m m'
_symmetry_Int_Tables_number 123
_symmetry_space_group_name_Hall '-P 4 2'
_cell_length_a 4.045
_cell_length_b 4.045
_cell_length_c 4.180
_cell_angle_alpha 90.00
_cell_angle_beta 90.00
_cell_angle_gamma 90.00
loop_
_atom_site_label
_atom_site_fract_x
_atom_site_fract_y
_atom_site_fract_z
_atom_site_occupancy
Ni1 0.000 0.000 0.000 1
Sn1 0.500 0.500 0.500 1
O1 0.000 0.500 0.500 1
F1 0.500 0.500 0.000 1